Li7Mn2Co3O12: optimized geometry, PBE with a Hubbard U.

abc: 6.496 6.496 11.911
angles: 76.14 76.14 25.90
Atoms (fractional coordinates):
Li 0.666 0.666 0.590
Li 0.331 0.331 0.421
Li 0.000 0.000 0.246
Li 0.674 0.674 0.073
Li 0.327 0.327 0.907
Li 0.004 0.004 0.757
Li 0.667 0.667 0.838
Mn 0.004 0.004 0.000
Mn 0.998 0.998 0.499
Co 0.316 0.316 0.680
Co 0.671 0.671 0.329
Co 0.335 0.335 0.166
O 0.502 0.502 0.385
O 0.175 0.175 0.215
O 0.840 0.840 0.057
O 0.496 0.496 0.896
O 0.171 0.171 0.703
O 0.845 0.845 0.541
O 0.840 0.840 0.783
O 0.499 0.499 0.605
O 0.159 0.159 0.448
O 0.834 0.834 0.278
O 0.492 0.492 0.118
O 0.153 0.153 0.966

Computed properties:
The value obtained for the total magnetization is 8.00 μB per formula unit. Its offset from the most stable computed form is 35 meV/atom. Its space group is Cm, No. 8. The total energy is -140.692 eV for the cell shown. The volume is 213 Å³ per cell.